VASP calculation (GGA-PBE) on a relaxed CeSb2Rh4 crystal.

Results
Crystal system: orthorhombic
E_form (uncorrected): -0.6069 eV per atom
Total DFT energy (no corrections): -6.833 eV per atom

abc: 4.3280 7.3911 16.5896
angles: 90.00 90.00 90.00
Atoms (fractional coordinates):
Ce 0.7500 0.9560 0.6466
Ce 0.2500 0.0440 0.3534
Ce 0.2500 0.4560 0.8534
Ce 0.7500 0.5440 0.1466
Sb 0.2500 0.7447 0.5242
Sb 0.7500 0.2553 0.4758
Sb 0.7500 0.2447 0.9758
Sb 0.2500 0.7553 0.0242
Sb 0.2500 0.9053 0.8018
Sb 0.7500 0.0947 0.1982
Sb 0.7500 0.4053 0.6982
Sb 0.2500 0.5947 0.3018
Rh 0.2500 0.2029 0.7117
Rh 0.7500 0.7971 0.2883
Rh 0.7500 0.7029 0.7883
Rh 0.2500 0.2971 0.2117
Rh 0.2500 0.6267 0.6776
Rh 0.7500 0.3733 0.3224
Rh 0.7500 0.1267 0.8224
Rh 0.2500 0.8733 0.1776
Rh 0.2500 0.0980 0.5418
Rh 0.7500 0.9020 0.4582
Rh 0.7500 0.5980 0.9582
Rh 0.2500 0.4020 0.0418
Rh 0.2500 0.4395 0.4438
Rh 0.7500 0.5605 0.5562
Rh 0.7500 0.9395 0.0562
Rh 0.2500 0.0605 0.9438